Entry 1:
Entry from Alexandria: a relaxed CeTe2Pd crystal (PBE-GGA).

Calculated values
The total magnetic moment is 1.0 Bohr magnetons per cell. The calculation puts the uncorrected formation energy at -0.969 eV per atom. For the relative energy among the computed polymorphs, the calculation gives 0 meV per atom. The calculation puts the density of states at the Fermi level at 12.02 states/eV/cell.

Unit cell a=6.3686 b=6.3686 c=7.1401 alpha=123.71 beta=123.71 gamma=68.21
Last column: nearest neighbours and their distance in Å.
Element x y z (fractional)
1 Ce 0.2490 0.7510 0.7500  8 Te 3.25-3.27, 4 Pd 3.51-3.63
2 Ce 0.7510 0.2490 0.2500  8 Te 3.25-3.27, 4 Pd 3.51-3.63
3 Te 0.1874 0.3147 0.1875  2 Pd 2.70-2.73
4 Te 0.3147 0.1874 0.6875  2 Pd 2.70-2.73
5 Te 0.6853 0.8126 0.3125  2 Pd 2.70-2.73
6 Te 0.8126 0.6853 0.8125  2 Pd 2.70-2.73
7 Pd 0.2426 0.7574 0.2500  4 Te 2.70-2.73
8 Pd 0.7574 0.2426 0.7500  4 Te 2.70-2.73

***

Entry 2:
Entry from Alexandria: a relaxed Ce2TePd crystal (PBE-GGA).

Calculated values
The total magnetic moment is 2.6 Bohr magnetons per cell. The calculation puts the uncorrected formation energy at -0.845 eV per atom. For the relative energy among the computed polymorphs, the calculation gives 67 meV per atom. The calculation puts the density of states at the Fermi level at 12.66 states/eV/cell.

Unit cell a=3.7787 b=3.7787 c=7.1921 alpha=90.00 beta=90.00 gamma=90.00
Last column: nearest neighbours and their distance in Å.
Element x y z (fractional)
1 Ce 0.0000 0.0000 0.2293  4 Pd 3.14, 1 Ce 3.30, 4 Te 3.31
2 Ce 0.0000 0.0000 0.7707  4 Pd 3.14, 1 Ce 3.30, 4 Te 3.31
3 Te 0.5000 0.5000 0.5000  8 Ce 3.31, 2 Pd 3.60
4 Pd 0.5000 0.5000 0.0000  8 Ce 3.14

***

Entry 3:
Entry from Alexandria: a relaxed Ce3Te4Pd crystal (PBE-GGA).

Calculated values
The total magnetic moment is 7.5 Bohr magnetons per cell. The calculation puts the uncorrected formation energy at -1.153 eV per atom. The calculation puts the density of states at the Fermi level at 43.09 states/eV/cell.

Unit cell a=4.5523 b=13.5546 c=8.9085 alpha=90.00 beta=90.00 gamma=90.00
Last column: nearest neighbours and their distance in Å.
Element x y z (fractional)
1 Ce 0.2500 0.0919 0.1600  1 Pd 3.07, 6 Te 3.19-3.42
2 Ce 0.2500 0.4081 0.1600  1 Pd 3.07, 6 Te 3.19-3.42
3 Ce 0.2500 0.7500 0.3091  2 Pd 3.02, 2 Te 3.25
4 Ce 0.7500 0.2500 0.6909  2 Pd 3.02, 2 Te 3.25
5 Ce 0.7500 0.5919 0.8400  1 Pd 3.07, 6 Te 3.19-3.42
6 Ce 0.7500 0.9081 0.8400  1 Pd 3.07, 6 Te 3.19-3.42
7 Te 0.2500 0.0673 0.7778  1 Pd 2.76
8 Te 0.2500 0.2500 0.4302  4 Ce 3.22-3.25
9 Te 0.2500 0.4327 0.7778  1 Pd 2.76
10 Te 0.2500 0.7500 0.9140  2 Pd 2.75
11 Te 0.7500 0.2500 0.0860  2 Pd 2.75
12 Te 0.7500 0.5673 0.2222  1 Pd 2.76
13 Te 0.7500 0.7500 0.5698  4 Ce 3.22-3.25
14 Te 0.7500 0.9327 0.2222  1 Pd 2.76
15 Pd 0.2500 0.2500 0.9135  4 Te 2.75-2.76, 4 Ce 3.02-3.07
16 Pd 0.7500 0.7500 0.0865  4 Te 2.75-2.76, 4 Ce 3.02-3.07

***

Entry 4:
Entry from Alexandria: a relaxed CeTePd4 crystal (PBE-GGA).

Calculated values
The total magnetic moment is 0.5 Bohr magnetons per cell. The calculation puts the uncorrected formation energy at -0.565 eV per atom. The calculation puts the density of states at the Fermi level at 7.44 states/eV/cell.

Unit cell a=5.4515 b=5.4515 c=5.4515 alpha=60.00 beta=60.00 gamma=60.00
Last column: nearest neighbours and their distance in Å.
Element x y z (fractional)
1 Ce 0.0000 0.0000 0.0000  12 Pd 3.19, 4 Te 3.34
2 Te 0.7500 0.7500 0.7500  12 Pd 3.20, 4 Ce 3.34
3 Pd 0.3742 0.3742 0.3742  6 Pd 2.71-2.74
4 Pd 0.3742 0.3742 0.8773  6 Pd 2.71-2.74
5 Pd 0.3742 0.8773 0.3742  6 Pd 2.71-2.74
6 Pd 0.8773 0.3742 0.3742  6 Pd 2.71-2.74